Ca2ZrVTe | PBE-GGA | optimized geometry

Summary:
E = -4.56 eV per atom

CIF file:
```
data_Ca2ZrVTe
_chemical_formula_sum 'Ca2 Zr1 V1 Te1'
_cell_length_a 5.688
_cell_length_b 5.688
_cell_length_c 4.683
_cell_angle_alpha 90.00
_cell_angle_beta 90.00
_cell_angle_gamma 90.00
_symmetry_space_group_name_H-M 'P 4/m m m'
_symmetry_Int_Tables_number 123
_symmetry_space_group_name_Hall '-P 4 2'
loop_
_atom_site_label
_atom_site_type_symbol
_atom_site_fract_x
_atom_site_fract_y
_atom_site_fract_z
Ca1 Ca 0.000 0.500 0.000
Zr1 Zr 0.000 0.000 0.500
V1 V 0.000 0.000 0.000
Te1 Te 0.500 0.500 0.500
```

=====

Ba2CdInMo | PBE-GGA | optimized geometry

Summary:
energy relative to the elements = 0.77 eV/atom

CIF file:
```
data_Ba2CdInMo
_chemical_formula_sum 'Ba2 Cd1 In1 Mo1'
_cell_length_a 6.483
_cell_length_b 6.483
_cell_length_c 5.249
_cell_angle_alpha 90.00
_cell_angle_beta 90.00
_cell_angle_gamma 90.00
_symmetry_space_group_name_H-M 'P 4/m m m'
_symmetry_Int_Tables_number 123
_symmetry_space_group_name_Hall '-P 4 2'
loop_
_atom_site_label
_atom_site_type_symbol
_atom_site_fract_x
_atom_site_fract_y
_atom_site_fract_z
Ba1 Ba 0.000 0.500 0.000
Cd1 Cd 0.000 0.000 0.000
In1 In 0.500 0.500 0.500
Mo1 Mo 0.000 0.000 0.500
```

=====

LiTaSn2 | PBE-GGA | optimized geometry

Summary:
offset from the most stable computed form = 0.0 kJ per mole of atoms
energy relative to the elements = -0.07 eV/atom

CIF file:
```
data_LiTaSn2
_chemical_formula_sum 'Li3 Ta3 Sn6'
_cell_length_a 3.2011
_cell_length_b 3.2011
_cell_length_c 28.1374
_cell_angle_alpha 90.00
_cell_angle_beta 90.00
_cell_angle_gamma 120.00
_symmetry_space_group_name_H-M 'R -3 m'
_symmetry_Int_Tables_number 166
_symmetry_space_group_name_Hall '-R 3 2"'
loop_
_atom_site_label
_atom_site_type_symbol
_atom_site_fract_x
_atom_site_fract_y
_atom_site_fract_z
Li1 Li 0.0000 0.0000 0.0000
Ta1 Ta 0.0000 0.0000 0.5000
Sn1 Sn 0.0000 0.0000 0.2503
```

=====

Zr2CoHRh | PBE-GGA | optimized geometry

Summary:
offset from the most stable computed form = 0.0 kJ per mole of atoms

CIF file:
```
data_Zr2CoHRh
_chemical_formula_sum 'Zr2 Co1 H1 Rh1'
_cell_length_a 4.516
_cell_length_b 4.516
_cell_length_c 3.447
_cell_angle_alpha 90.00
_cell_angle_beta 90.00
_cell_angle_gamma 90.00
_symmetry_space_group_name_H-M 'P 4/m m m'
_symmetry_Int_Tables_number 123
_symmetry_space_group_name_Hall '-P 4 2'
loop_
_atom_site_label
_atom_site_type_symbol
_atom_site_fract_x
_atom_site_fract_y
_atom_site_fract_z
Zr1 Zr 0.000 0.500 0.000
Co1 Co 0.000 0.000 0.500
H1 H 0.000 0.000 0.000
Rh1 Rh 0.500 0.500 0.500
```

=====

FeGeBr | PBE-GGA | optimized geometry

Summary:
offset from the most stable computed form = 9.5 kJ per mole of atoms

CIF file:
```
data_FeGeBr
_chemical_formula_sum 'Fe4 Ge4 Br4'
_cell_length_a 12.851
_cell_length_b 3.889
_cell_length_c 4.879
_cell_angle_alpha 90.00
_cell_angle_beta 90.20
_cell_angle_gamma 90.00
_symmetry_space_group_name_H-M 'C 1 m 1'
_symmetry_Int_Tables_number 8
loop_
_symmetry_equiv_pos_as_xyz
'x,y,z'
'x,-y,z'
'x+1/2,y+1/2,z'
'x+1/2,-y+1/2,z'
loop_
_atom_site_label
_atom_site_type_symbol
_atom_site_fract_x
_atom_site_fract_y
_atom_site_fract_z
Fe1 Fe 0.000 0.000 0.000
Fe2 Fe 0.166 0.000 0.218
Ge1 Ge 0.017 0.000 0.508
Ge2 Ge 0.105 0.500 0.948
Br1 Br 0.234 0.500 0.514
Br2 Br 0.359 0.000 0.019
```

=====

AcPm2Ir2 | PBE-GGA | optimized geometry

Summary:
offset from the most stable computed form = 0.0 kJ per mole of atoms
energy relative to the elements = -0.62 eV/atom

CIF file:
```
data_AcPm2Ir2
_chemical_formula_sum 'Ac2 Pm4 Ir4'
_cell_length_a 5.792
_cell_length_b 4.514
_cell_length_c 10.963
_cell_angle_alpha 90.00
_cell_angle_beta 97.55
_cell_angle_gamma 90.00
_symmetry_space_group_name_H-M 'P 1 21/m 1'
_symmetry_Int_Tables_number 11
loop_
_symmetry_equiv_pos_as_xyz
'x,y,z'
'-x,-y,-z'
'-x,y+1/2,-z'
'x,-y+1/2,z'
loop_
_atom_site_label
_atom_site_type_symbol
_atom_site_fract_x
_atom_site_fract_y
_atom_site_fract_z
Ac1 Ac 0.057 0.250 0.287
Pm1 Pm 0.270 0.750 0.030
Pm2 Pm 0.382 0.250 0.612
Ir1 Ir 0.164 0.750 0.471
Ir2 Ir 0.202 0.250 0.867
```